A plane-wave DFT calculation with PBE was carried out for an optimized crystal structure of CaSb12Pd4.

abc: 8.3292 8.3292 8.3292
angles: 109.47 109.47 109.47
Closest atoms and distances in Å follow each position.
Atoms (fractional coordinates):
Ca1 0.0000 0.0000 0.0000  12 Sb 3.62
Sb1 0.8448 0.3424 0.1872  2 Pd 2.72, 2 Sb 2.99-3.03
Sb2 0.3424 0.4976 0.1552  2 Pd 2.72, 2 Sb 2.99-3.03
Sb3 0.8128 0.1552 0.6576  2 Pd 2.72, 2 Sb 2.99-3.03
Sb4 0.3424 0.1872 0.8448  2 Pd 2.72, 2 Sb 2.99-3.03
Sb5 0.1872 0.8448 0.3424  2 Pd 2.72, 2 Sb 2.99-3.03
Sb6 0.6576 0.5024 0.8448  2 Pd 2.72, 2 Sb 2.99-3.03
Sb7 0.4976 0.1552 0.3424  2 Pd 2.72, 2 Sb 2.99-3.03
Sb8 0.5024 0.8448 0.6576  2 Pd 2.72, 2 Sb 2.99-3.03
Sb9 0.6576 0.8128 0.1552  2 Pd 2.72, 2 Sb 2.99-3.03
Sb10 0.8448 0.6576 0.5024  2 Pd 2.72, 2 Sb 2.99-3.03
Sb11 0.1552 0.3424 0.4976  2 Pd 2.72, 2 Sb 2.99-3.03
Sb12 0.1552 0.6576 0.8128  2 Pd 2.72, 2 Sb 2.99-3.03
Pd1 0.0000 0.5000 0.0000  6 Sb 2.72
Pd2 0.5000 0.0000 0.0000  6 Sb 2.72
Pd3 0.5000 0.5000 0.5000  6 Sb 2.72
Pd4 0.0000 0.0000 0.5000  6 Sb 2.72

Calculated values
* raw formation energy: -0.309 eV per atom
* N(E_F): 9.71 states/eV/cell